Density functional theory data (PBE-GGA) for a relaxed Nd2AlCl crystal.

Summary:
Calculated total energy = -4.63 eV per atom
E_form (uncorrected) = -0.849 eV/atom
Offset from the most stable computed form = 0 meV/atom
Total moment = 0.000 μB per atom

Lattice parameters (Å, degrees): 3.469 3.469 8.385 90.00 90.00 90.00
Atoms (fractional coordinates):
Nd: 0.000 0.000 0.238
Nd: 0.000 0.000 0.762
Al: 0.500 0.500 0.000
Cl: 0.500 0.500 0.500